Compound: Ta2TeSe
Source: Alexandria via LeMat-Bulk
Functional: GGA-PBE
Structure: optimized geometry

Computed properties:
Fermi-level density of states in states/eV/f.u.: 1.7
ΔE to the lowest computed polymorph in eV/atom: 0.2567
Energy relative to the elements, uncorrected in eV/f.u.: -0.465
Energy in eV/atom: -7.70

Unit cell a=4.8855 b=4.8855 c=5.2681 alpha=103.15 beta=103.15 gamma=40.95
Closest atoms and distances in Å follow each position.
Sites, in units of the cell vectors:
1 Ta 0.0000 0.0000 0.0000  3 Se 2.60-2.67
2 Ta 0.2482 0.2482 0.7047  2 Se 2.67, 3 Te 2.85
3 Te 0.5014 0.5014 0.4804  5 Ta 2.85-3.05
4 Se 0.7314 0.7314 0.0848  5 Ta 2.60-2.67

---

Compound: Hf2CuF11
Source: Alexandria via LeMat-Bulk
Functional: GGA-PBE
Structure: optimized geometry

Computed properties:
Fermi-level density of states in states/eV/f.u.: 0.5
Energy relative to the elements, uncorrected in eV/f.u.: -42.586
Energy in eV/atom: -6.23

Unit cell a=7.6660 b=7.6660 c=9.5278 alpha=124.18 beta=124.18 gamma=63.47
Closest atoms and distances in Å follow each position.
Sites, in units of the cell vectors:
1 Hf 0.0861 0.3920 0.1930  6 F 1.90-2.12
2 Hf 0.3920 0.0861 0.6930  6 F 1.90-2.12
3 Hf 0.6080 0.9139 0.3070  6 F 1.90-2.12
4 Hf 0.9139 0.6080 0.8070  6 F 1.90-2.12
5 Cu 0.3459 0.6541 0.7500  6 F 1.91-1.94
6 Cu 0.6541 0.3459 0.2500  6 F 1.91-1.94
7 F 0.0000 0.5000 0.0000  2 Hf 2.09
8 F 0.0549 0.8265 0.0367  1 Hf 1.90
9 F 0.0613 0.6772 0.7124  1 Cu 1.94, 1 Hf 2.14
10 F 0.1355 0.3265 0.7555  2 Hf 2.06-2.11
11 F 0.1735 0.9451 0.4633  1 Hf 1.90
12 F 0.2469 0.5516 0.4869  1 Cu 1.91, 1 Hf 2.12
13 F 0.3228 0.9387 0.7876  1 Cu 1.94, 1 Hf 2.14
14 F 0.3265 0.1355 0.2555  2 Hf 2.06-2.11
15 F 0.3621 0.4154 0.2191  1 Cu 1.94, 1 Hf 2.07
16 F 0.4154 0.3621 0.7191  1 Cu 1.94, 1 Hf 2.07
17 F 0.4484 0.7531 0.0131  1 Cu 1.91, 1 Hf 2.12
18 F 0.5000 0.0000 0.5000  2 Hf 2.09
19 F 0.5516 0.2469 0.9869  1 Cu 1.91, 1 Hf 2.12
20 F 0.5846 0.6379 0.2809  1 Cu 1.94, 1 Hf 2.07
21 F 0.6379 0.5846 0.7809  1 Cu 1.94, 1 Hf 2.07
22 F 0.6735 0.8645 0.7445  2 Hf 2.06-2.11
23 F 0.6772 0.0613 0.2124  1 Cu 1.94, 1 Hf 2.14
24 F 0.7531 0.4484 0.5131  1 Cu 1.91, 1 Hf 2.12
25 F 0.8265 0.0549 0.5367  1 Hf 1.90
26 F 0.8645 0.6735 0.2445  2 Hf 2.06-2.11
27 F 0.9387 0.3228 0.2876  1 Cu 1.94, 1 Hf 2.14
28 F 0.9451 0.1735 0.9633  1 Hf 1.90

---

Compound: Zr4BeIr
Source: Alexandria via LeMat-Bulk
Functional: GGA-PBE
Structure: optimized geometry

Computed properties:
Fermi-level density of states in states/eV/f.u.: 7.3
ΔE to the lowest computed polymorph in eV/atom: 0.0000
Energy in eV/atom: -8.17
Calculated formation energy in meV per atom: -375

Unit cell a=5.3798 b=5.3798 c=5.3798 alpha=103.24 beta=103.24 gamma=122.83
Closest atoms and distances in Å follow each position.
Sites, in units of the cell vectors:
1 Zr 0.0886 0.5886 0.1772  2 Be 2.82, 2 Ir 2.82, 3 Zr 3.05-3.07
2 Zr 0.4114 0.9114 0.8228  2 Be 2.82, 2 Ir 2.82, 3 Zr 3.05-3.07
3 Zr 0.5886 0.4114 0.5000  2 Be 2.82, 2 Ir 2.82, 3 Zr 3.05-3.07
4 Zr 0.9114 0.0886 0.5000  2 Be 2.82, 2 Ir 2.82, 3 Zr 3.05-3.07
5 Be 0.5000 0.5000 0.0000  2 Ir 2.57, 8 Zr 2.82
6 Ir 0.0000 0.0000 0.0000  2 Be 2.57, 8 Zr 2.82

---

Compound: PmZr2IO8
Source: Alexandria via LeMat-Bulk
Functional: GGA-PBE
Structure: optimized geometry

Computed properties:
Fermi-level density of states in states/eV/f.u.: 0.0
Energy relative to the elements, uncorrected in eV/f.u.: -28.634
Energy in eV/atom: -7.64

Unit cell a=5.0330 b=6.7759 c=5.0352 alpha=90.00 beta=90.84 gamma=90.00
Closest atoms and distances in Å follow each position.
Sites, in units of the cell vectors:
1 Pm 0.0000 0.0000 0.0000  6 O 2.31-2.33
2 Zr 0.5000 0.2486 0.5000  6 O 2.11-2.21
3 Zr 0.5000 0.7514 0.5000  6 O 2.11-2.21
4 I 0.0000 0.5000 0.0000  6 O 2.09-2.18
5 O 0.2017 0.2731 0.2003  1 I 2.09, 1 Zr 2.12, 1 Pm 2.33
6 O 0.2017 0.7269 0.2003  1 I 2.09, 1 Zr 2.12, 1 Pm 2.33
7 O 0.3029 0.5000 0.6958  1 I 2.18, 2 Zr 2.21
8 O 0.3212 0.0000 0.6772  2 Zr 2.11, 1 Pm 2.31
9 O 0.6788 0.0000 0.3228  2 Zr 2.11, 1 Pm 2.31
10 O 0.6971 0.5000 0.3042  1 I 2.18, 2 Zr 2.21
11 O 0.7983 0.2731 0.7997  1 I 2.09, 1 Zr 2.12, 1 Pm 2.33
12 O 0.7983 0.7269 0.7997  1 I 2.09, 1 Zr 2.12, 1 Pm 2.33

---

Compound: Ce3Tm
Source: Alexandria via LeMat-Bulk
Functional: GGA-PBE
Structure: optimized geometry

Computed properties:
Fermi-level density of states in states/eV/f.u.: 11.6
ΔE to the lowest computed polymorph in eV/atom: 0.0252
Energy in eV/atom: -5.45
Calculated formation energy in meV per atom: 119

Unit cell a=6.5768 b=6.5768 c=6.5768 alpha=150.23 beta=62.55 gamma=126.36
Closest atoms and distances in Å follow each position.
Sites, in units of the cell vectors:
1 Ce 0.0000 0.0000 0.0000  6 Ce 3.26-3.38, 4 Tm 3.41-3.42
2 Ce 0.3646 0.6255 0.7390  8 Ce 3.26-3.42, 3 Tm 3.46-3.49
3 Ce 0.8865 0.6255 0.2610  8 Ce 3.26-3.42, 3 Tm 3.46-3.49
4 Tm 0.5012 0.0012 0.5000  2 Tm 3.38, 10 Ce 3.41-3.49

---

Compound: TmAg3Sn3
Source: Alexandria via LeMat-Bulk
Functional: GGA-PBE
Structure: optimized geometry

Computed properties:
Fermi-level density of states in states/eV/f.u.: 5.5
Energy in eV/atom: -3.11
Calculated formation energy in meV per atom: 463

Unit cell a=7.5487 b=7.5487 c=7.5487 alpha=90.00 beta=90.00 gamma=90.00
Closest atoms and distances in Å follow each position.
Sites, in units of the cell vectors:
1 Tm 0.0000 0.0000 0.0000  12 Sn 4.22, 12 Ag 4.22
2 Tm 0.5000 0.5000 0.5000  12 Sn 4.22, 12 Ag 4.22
3 Ag 0.0000 0.2500 0.5000  4 Sn 2.67
4 Ag 0.0000 0.7500 0.5000  4 Sn 2.67
5 Ag 0.2500 0.5000 0.0000  4 Sn 2.67
6 Ag 0.5000 0.0000 0.2500  4 Sn 2.67
7 Ag 0.5000 0.0000 0.7500  4 Sn 2.67
8 Ag 0.7500 0.5000 0.0000  4 Sn 2.67
9 Sn 0.0000 0.5000 0.2500  4 Ag 2.67
10 Sn 0.0000 0.5000 0.7500  4 Ag 2.67
11 Sn 0.2500 0.0000 0.5000  4 Ag 2.67
12 Sn 0.5000 0.2500 0.0000  4 Ag 2.67
13 Sn 0.5000 0.7500 0.0000  4 Ag 2.67
14 Sn 0.7500 0.0000 0.5000  4 Ag 2.67

---

Compound: CeNdGaIr
Source: Alexandria via LeMat-Bulk
Functional: GGA-PBE
Structure: optimized geometry

Computed properties:
Fermi-level density of states in states/eV/f.u.: 3.7
ΔE to the lowest computed polymorph in eV/atom: 0.0000
Energy in eV/atom: -6.33
Calculated formation energy in meV per atom: -686

Unit cell a=3.9058 b=6.2418 c=6.2418 alpha=39.35 beta=90.00 gamma=90.00
Closest atoms and distances in Å follow each position.
Sites, in units of the cell vectors:
1 Ce 0.0000 0.0000 0.0000  4 Ir 2.90, 2 Ga 3.10
2 Nd 0.5000 0.7218 0.7218  4 Ga 3.03, 1 Ir 3.05
3 Ga 0.0000 0.3059 0.3059  2 Ir 2.68
4 Ir 0.5000 0.4623 0.4623  2 Ga 2.68, 4 Ce 2.90

---

Compound: Er2Zn5Ru2Rh
Source: Alexandria via LeMat-Bulk
Functional: GGA-PBE
Structure: optimized geometry

Computed properties:
Fermi-level density of states in states/eV/f.u.: 5.6
Energy in eV/atom: -4.41
Calculated formation energy in meV per atom: -274

Unit cell a=9.3938 b=9.3938 c=3.8651 alpha=90.00 beta=90.00 gamma=90.00
Closest atoms and distances in Å follow each position.
Sites, in units of the cell vectors:
1 Er 0.1738 0.3262 0.0000  3 Ru 2.64-2.86
2 Er 0.3262 0.8262 0.0000  3 Ru 2.64-2.86
3 Er 0.6738 0.1738 0.0000  3 Ru 2.64-2.86
4 Er 0.8262 0.6738 0.0000  3 Ru 2.64-2.86
5 Zn 0.0000 0.5000 0.5000  4 Ru 2.57
6 Zn 0.0577 0.8068 0.5000  2 Ru 2.65, 3 Zn 2.68-2.93, 2 Rh 2.71
7 Zn 0.1932 0.0577 0.5000  2 Ru 2.65, 3 Zn 2.68-2.93, 2 Rh 2.71
8 Zn 0.3068 0.5577 0.5000  2 Ru 2.65, 3 Zn 2.68-2.93, 2 Rh 2.71
9 Zn 0.4423 0.3068 0.5000  2 Ru 2.65, 3 Zn 2.68-2.93, 2 Rh 2.71
10 Zn 0.5000 0.0000 0.5000  4 Ru 2.57
11 Zn 0.5577 0.6932 0.5000  2 Ru 2.65, 3 Zn 2.68-2.93, 2 Rh 2.71
12 Zn 0.6932 0.4423 0.5000  2 Ru 2.65, 3 Zn 2.68-2.93, 2 Rh 2.71
13 Zn 0.8068 0.9423 0.5000  2 Ru 2.65, 3 Zn 2.68-2.93, 2 Rh 2.71
14 Zn 0.9423 0.1932 0.5000  2 Ru 2.65, 3 Zn 2.68-2.93, 2 Rh 2.71
15 Ru 0.1274 0.6274 0.0000  6 Zn 2.57-2.65, 3 Er 2.64-2.86
16 Ru 0.3726 0.1274 0.0000  6 Zn 2.57-2.65, 3 Er 2.64-2.86
17 Ru 0.6274 0.8726 0.0000  6 Zn 2.57-2.65, 3 Er 2.64-2.86
18 Ru 0.8726 0.3726 0.0000  6 Zn 2.57-2.65, 3 Er 2.64-2.86
19 Rh 0.0000 0.0000 0.0000  8 Zn 2.71
20 Rh 0.5000 0.5000 0.0000  8 Zn 2.71

---

Compound: TcTeIr3
Source: Alexandria via LeMat-Bulk
Functional: GGA-PBE
Structure: optimized geometry

Computed properties:
Fermi-level density of states in states/eV/f.u.: 6.5
ΔE to the lowest computed polymorph in eV/atom: 0.0000
Energy relative to the elements, uncorrected in eV/f.u.: 7.801
Energy in eV/atom: -6.46

Unit cell a=4.7333 b=4.7333 c=4.7333 alpha=90.00 beta=90.00 gamma=90.00
Closest atoms and distances in Å follow each position.
Sites, in units of the cell vectors:
1 Tc 0.0000 0.0000 0.0000  6 Ir 2.37
2 Te 0.5000 0.5000 0.5000  12 Ir 3.35
3 Ir 0.0000 0.0000 0.5000  2 Tc 2.37
4 Ir 0.0000 0.5000 0.0000  2 Tc 2.37
5 Ir 0.5000 0.0000 0.0000  2 Tc 2.37

---

Compound: Sc4InNi2Rh
Source: Alexandria via LeMat-Bulk
Functional: GGA-PBE
Structure: optimized geometry

Computed properties:
Fermi-level density of states in states/eV/f.u.: 6.3
Energy in eV/atom: -6.44
Calculated formation energy in meV per atom: -564

Unit cell a=8.1033 b=8.1033 c=8.1033 alpha=33.42 beta=33.42 gamma=33.42
Closest atoms and distances in Å follow each position.
Sites, in units of the cell vectors:
1 Sc 0.1165 0.1165 0.1165  1 Rh 2.67, 4 Ni 2.77-2.98, 3 In 2.93
2 Sc 0.3690 0.3690 0.3690  4 Ni 2.81-2.94, 3 Rh 2.81, 1 In 3.00, 3 Sc 3.15
3 Sc 0.6310 0.6310 0.6310  4 Ni 2.81-2.94, 3 Rh 2.81, 1 In 3.00, 3 Sc 3.15
4 Sc 0.8835 0.8835 0.8835  1 Rh 2.67, 4 Ni 2.77-2.98, 3 In 2.93
5 In 0.5000 0.5000 0.5000  8 Sc 2.93-3.00, 6 Ni 3.25
6 Ni 0.2464 0.2464 0.2464  8 Sc 2.77-2.98
7 Ni 0.7536 0.7536 0.7536  8 Sc 2.77-2.98
8 Rh 0.0000 0.0000 0.0000  8 Sc 2.67-2.81

---

Compound: Sr2TeCS
Source: Alexandria via LeMat-Bulk
Functional: GGA-PBE
Structure: optimized geometry

Computed properties:
Fermi-level density of states in states/eV/f.u.: 1.2
Energy relative to the elements, uncorrected in eV/f.u.: 1.997
Energy in eV/atom: -3.57

Unit cell a=5.7147 b=5.7147 c=5.1746 alpha=90.00 beta=90.00 gamma=90.00
Closest atoms and distances in Å follow each position.
Sites, in units of the cell vectors:
1 Sr 0.0000 0.5000 0.0000  2 S 2.86
2 Sr 0.5000 0.0000 0.0000  2 S 2.86
3 Te 0.0000 0.0000 0.5000  2 S 2.59
4 C 0.5000 0.5000 0.5000  8 Sr 3.85, 4 Te 4.04
5 S 0.0000 0.0000 0.0000  2 Te 2.59, 4 Sr 2.86

---

Compound: AcDy3Y12
Source: Alexandria via LeMat-Bulk
Functional: GGA-PBE
Structure: optimized geometry

Computed properties:
Fermi-level density of states in states/eV/f.u.: 23.6
Energy in eV/atom: -5.93
Calculated formation energy in meV per atom: 33

Unit cell a=5.0777 b=5.0777 c=20.3524 alpha=90.00 beta=90.00 gamma=90.00
Closest atoms and distances in Å follow each position.
Sites, in units of the cell vectors:
1 Ac 0.0000 0.0000 0.0000  12 Y 3.59-3.68
2 Dy 0.0000 0.0000 0.2531  12 Y 3.55-3.59
3 Dy 0.0000 0.0000 0.5000  12 Y 3.57-3.59
4 Dy 0.0000 0.0000 0.7469  12 Y 3.55-3.59
5 Y 0.0000 0.5000 0.1311  2 Dy 3.55, 8 Y 3.57-3.68, 2 Ac 3.68
6 Y 0.0000 0.5000 0.3770  8 Y 3.56-3.59, 4 Dy 3.57-3.58
7 Y 0.0000 0.5000 0.6230  8 Y 3.56-3.59, 4 Dy 3.57-3.58
8 Y 0.0000 0.5000 0.8689  2 Dy 3.55, 8 Y 3.57-3.68, 2 Ac 3.68
9 Y 0.5000 0.0000 0.1311  2 Dy 3.55, 8 Y 3.57-3.68, 2 Ac 3.68
10 Y 0.5000 0.0000 0.3770  8 Y 3.56-3.59, 4 Dy 3.57-3.58
11 Y 0.5000 0.0000 0.6230  8 Y 3.56-3.59, 4 Dy 3.57-3.58
12 Y 0.5000 0.0000 0.8689  2 Dy 3.55, 8 Y 3.57-3.68, 2 Ac 3.68
13 Y 0.5000 0.5000 0.0000  4 Ac 3.59, 8 Y 3.68
14 Y 0.5000 0.5000 0.2544  8 Y 3.56-3.57, 4 Dy 3.59
15 Y 0.5000 0.5000 0.5000  8 Y 3.57, 4 Dy 3.59
16 Y 0.5000 0.5000 0.7456  8 Y 3.56-3.57, 4 Dy 3.59

---

The highest Fermi-level density of states belongs to which entry?
AcDy3Y12